The following is a PBE calculation of an optimized crystal structure of Sr2Bi2W, from Alexandria.

Calculated values
V (A^3/atom): 30.79
Energy of formation (meV/atom): 141
Symmetry: P4/mbm (127)
Relative energy among the computed polymorphs (eV per atom): 0.0000

abc: 7.718 7.718 5.168
angles: 90.00 90.00 90.00
Sites, in units of the cell vectors:
Sr 0.168 0.332 0.000
Sr 0.332 0.832 0.000
Sr 0.668 0.168 0.000
Sr 0.832 0.668 0.000
Bi 0.151 0.651 0.500
Bi 0.349 0.151 0.500
Bi 0.651 0.849 0.500
Bi 0.849 0.349 0.500
W 0.000 0.000 0.500
W 0.500 0.500 0.500